The following is a DFT calculation (PBE) of Pt2RhW after structural relaxation.

a b c (Å): 2.790 2.790 27.373
angles (deg): 90.00 90.00 120.00
Element x y z (fractional)
Pt  0.000  0.000  0.000
Pt  0.000  0.000  0.246
Pt  0.333  0.667  0.667
Pt  0.333  0.667  0.913
Pt  0.667  0.333  0.333
Pt  0.667  0.333  0.579
Rh  0.000  0.000  0.753
Rh  0.333  0.667  0.420
Rh  0.667  0.333  0.086
W  0.000  0.000  0.497
W  0.333  0.667  0.164
W  0.667  0.333  0.830

Computed properties:
Volume (Å³/f.u.): 61.5
Offset from the most stable computed form (meV/atom): 133
ρ (g/cm³): 18.27
Fermi-level density of states (states/eV/cell): 11.89